CdInBr3 | Alexandria | PBE | relaxed; ρ = 4.613 g/cm³; formation energy (no corrections) = -682 meV per atom; space group = No. 221
1.0
5.519 0.000 0.000
0.000 5.519 0.000
0.000 0.000 5.519
Cd In Br
1 1 3
direct
0.000 0.000 0.000
0.500 0.500 0.500
0.000 0.000 0.500
0.000 0.500 0.000
0.500 0.000 0.000